Te3Mo2 after structural relaxation. Source: the Open Quantum Materials Database, functional PBE.

Cell: 16.0660 3.4576 9.3537 Å, 90.00 90.09 90.00°
Closest atoms and distances in Å follow each position.
Space group C2/m (No. 12)
Inequivalent atoms, fractional coordinates:
Te1 0.0313 0.0000 0.2295 x4  3 Mo 2.68-2.84
Te2 0.1545 0.5000 0.5206 x4  3 Mo 2.80-2.83
Te3 0.1951 0.0000 0.8677 x4  5 Mo 2.71-2.98
Mo1 0.1370 0.5000 0.1067 x4  5 Te 2.68-2.98, 2 Mo 2.72
Mo2 0.2032 0.0000 0.3000 x4  2 Mo 2.72, 6 Te 2.80-2.85

Computed properties:
Total magnetic moment ... 0.000 μB per atom
DFT total energy ... -6.178 eV/atom
Energy relative to the lowest polymorph listed for this composition ... 0.0 meV/atom